The following is a PBE+U calculation of a relaxed structure of VIn2F4, from Alexandria via LeMat-Bulk.

abc: 7.5483 7.5483 7.5483
angles: 147.42 147.42 46.75
Closest atoms and distances in Å follow each position.
Sites, in units of the cell vectors:
V  0.0000  0.0000  0.0000  6 F 2.12-2.13
In  0.3474  0.3474  0.0000  9 F 2.69-2.99
In  0.6526  0.6526  0.0000  9 F 2.69-2.99
F  0.0000  0.5000  0.5000  2 V 2.12
F  0.1536  0.1536  0.0000  1 V 2.13
F  0.5000  0.0000  0.5000  2 V 2.12
F  0.8464  0.8464  0.0000  1 V 2.13

Magnetization (Bohr magnetons per cell): 3.0
Total DFT energy (no corrections) (eV/atom): -4.964
Distance to the lowest polymorph of the same formula (eV/atom): 0.030